Record 1
In2HgTe: optimized geometry, PBE.

a = 3.376 Å, b = 3.376 Å, c = 10.498 Å
α = 90.00°, β = 90.00°, γ = 106.96°
Atoms (fractional coordinates):
In1 0.000 0.000 0.250
In2 0.000 0.000 0.750
Hg1 0.500 0.500 0.000
Te1 0.500 0.500 0.500

Values from the calculation:
V	28.61	Å³/atom
symmetry	Cmmm
D(E_F)	1.875	states/eV per cell
offset from the most stable computed form	16.5	kJ/mol of atoms
calculated density	8.093	g/cm3


Record 2
In2Hg4Te: optimized geometry, PBE.

a = 4.377 Å, b = 4.377 Å, c = 13.176 Å
α = 98.72°, β = 98.72°, γ = 58.39°
Atoms (fractional coordinates):
In1 0.214 0.214 0.145
In2 0.786 0.786 0.855
Hg1 0.071 0.071 0.711
Hg2 0.358 0.358 0.571
Hg3 0.642 0.642 0.429
Hg4 0.929 0.929 0.289
Te1 0.500 0.500 0.000

Values from the calculation:
V	30.24	Å³/atom
symmetry	C2/m
D(E_F)	2.212	states/eV per cell
calculated density	9.096	g/cm3
total DFT energy (no corrections)	-1.49	eV per atom


Record 3
InHg2Te: optimized geometry, PBE.

a = 4.376 Å, b = 4.376 Å, c = 7.774 Å
α = 106.00°, β = 106.00°, γ = 60.77°
Atoms (fractional coordinates):
In1 0.000 0.000 0.000
Hg1 0.248 0.248 0.748
Hg2 0.500 0.500 0.503
Te1 0.737 0.737 0.218

Values from the calculation:
V	30.77	Å³/atom
symmetry	Cm
D(E_F)	2.187	states/eV per cell
offset from the most stable computed form	0.3	kJ/mol of atoms
calculated density	8.683	g/cm3


Record 4
In3HgTe: optimized geometry, PBE.

a = 6.614 Å, b = 6.659 Å, c = 6.749 Å
α = 89.58°, β = 89.95°, γ = 89.99°
Atoms (fractional coordinates):
In1 0.000 0.000 0.000
In2 0.248 0.612 0.175
In3 0.251 0.783 0.605
In4 0.500 0.000 0.000
In5 0.749 0.217 0.395
In6 0.752 0.388 0.825
Hg1 0.252 0.361 0.809
Hg2 0.748 0.639 0.191
Te1 0.251 0.199 0.384
Te2 0.749 0.801 0.616

Values from the calculation:
V	29.72	Å³/atom
symmetry	P-1
D(E_F)	3.343	states/eV per cell
offset from the most stable computed form	0.0	kJ/mol of atoms
calculated density	7.516	g/cm3


Record 5
In2HgTe: optimized geometry, PBE.

a = 6.028 Å, b = 6.028 Å, c = 3.264 Å
α = 90.00°, β = 90.00°, γ = 97.73°
Atoms (fractional coordinates):
In1 0.000 0.500 0.000
In2 0.500 0.000 0.000
Hg1 0.000 0.000 0.500
Te1 0.500 0.500 0.500

Values from the calculation:
V	29.39	Å³/atom
symmetry	Cmmm
D(E_F)	1.374	states/eV per cell
offset from the most stable computed form	11.4	kJ/mol of atoms
calculated density	7.880	g/cm3


Record 6
InHg2Te: optimized geometry, PBE.

a = 3.231 Å, b = 5.190 Å, c = 6.851 Å
α = 90.00°, β = 90.93°, γ = 90.00°
Atoms (fractional coordinates):
In1 0.000 0.000 0.000
Hg1 0.493 0.500 0.768
Hg2 0.507 0.500 0.232
Te1 0.500 0.000 0.500

Values from the calculation:
V	28.72	Å³/atom
symmetry	P2/m
D(E_F)	1.507	states/eV per cell
offset from the most stable computed form	11.0	kJ/mol of atoms
calculated density	9.303	g/cm3


Record 7
In3Hg5Te: optimized geometry, PBE.

a = 11.105 Å, b = 7.508 Å, c = 7.508 Å
α = 88.44°, β = 90.00°, γ = 90.00°
Atoms (fractional coordinates):
In1 0.000 0.000 0.000
In2 0.150 0.546 0.546
In3 0.342 0.068 0.068
In4 0.500 0.572 0.572
In5 0.658 0.068 0.068
In6 0.850 0.546 0.546
Hg1 0.000 0.358 0.840
Hg2 0.000 0.840 0.358
Hg3 0.145 0.267 0.267
Hg4 0.326 0.352 0.797
Hg5 0.326 0.797 0.352
Hg6 0.500 0.302 0.302
Hg7 0.500 0.840 0.840
Hg8 0.674 0.352 0.797
Hg9 0.674 0.797 0.352
Hg10 0.855 0.267 0.267
Te1 0.199 0.829 0.829
Te2 0.801 0.829 0.829

Values from the calculation:
V	34.76	Å³/atom
symmetry	Amm2
D(E_F)	6.861	states/eV per cell
calculated density	7.829	g/cm3
total DFT energy (no corrections)	-1.40	eV per atom


Record 8
In4HgTe2: optimized geometry, PBE.

a = 13.205 Å, b = 13.205 Å, c = 13.205 Å
α = 19.30°, β = 19.30°, γ = 19.30°
Atoms (fractional coordinates):
In1 0.141 0.141 0.141
In2 0.287 0.287 0.287
In3 0.713 0.713 0.713
In4 0.859 0.859 0.859
Hg1 0.000 0.000 0.000
Te1 0.428 0.428 0.428
Te2 0.572 0.572 0.572

Values from the calculation:
V	31.41	Å³/atom
symmetry	R-3m
D(E_F)	2.529	states/eV per cell
calculated density	6.910	g/cm3
total DFT energy (no corrections)	-2.68	eV per atom


Record 9
InHg2Te: optimized geometry, PBE.

a = 3.261 Å, b = 6.043 Å, c = 6.041 Å
α = 90.00°, β = 93.72°, γ = 90.00°
Atoms (fractional coordinates):
In1 0.000 0.000 0.000
Hg1 0.003 0.000 0.500
Hg2 0.502 0.500 0.501
Te1 0.501 0.500 0.001

Values from the calculation:
V	29.69	Å³/atom
symmetry	Pm
D(E_F)	1.070	states/eV per cell
offset from the most stable computed form	8.4	kJ/mol of atoms
calculated density	8.998	g/cm3


Record 10
In4Hg4Te: optimized geometry, PBE.

a = 4.357 Å, b = 6.763 Å, c = 9.505 Å
α = 81.80°, β = 78.23°, γ = 71.27°
Atoms (fractional coordinates):
In1 0.127 0.470 0.169
In2 0.353 0.851 0.426
In3 0.647 0.149 0.574
In4 0.873 0.530 0.831
Hg1 0.205 0.881 0.793
Hg2 0.482 0.800 0.098
Hg3 0.518 0.200 0.902
Hg4 0.795 0.119 0.207
Te1 0.000 0.500 0.500

Values from the calculation:
V	28.75	Å³/atom
symmetry	P-1
D(E_F)	2.356	states/eV per cell
calculated density	8.916	g/cm3
total DFT energy (no corrections)	-1.76	eV per atom


Record 11
In2HgTe: optimized geometry, PBE.

a = 7.619 Å, b = 7.619 Å, c = 7.619 Å
α = 148.25°, β = 147.55°, γ = 46.04°
Atoms (fractional coordinates):
In1 0.000 0.000 0.000
In2 0.755 0.255 0.500
Hg1 0.329 0.829 0.500
Te1 0.591 0.591 0.000

Values from the calculation:
V	31.12	Å³/atom
symmetry	Imm2
D(E_F)	1.378	states/eV per cell
offset from the most stable computed form	5.1	kJ/mol of atoms
calculated density	7.441	g/cm3


Record 12
In5Hg2Te4: optimized geometry, PBE.

a = 4.464 Å, b = 4.464 Å, c = 22.242 Å
α = 95.80°, β = 95.80°, γ = 60.09°
Atoms (fractional coordinates):
In1 0.000 0.000 0.000
In2 0.122 0.122 0.360
In3 0.282 0.282 0.842
In4 0.718 0.718 0.158
In5 0.878 0.878 0.640
Hg1 0.360 0.360 0.076
Hg2 0.640 0.640 0.924
Te1 0.076 0.076 0.233
Te2 0.192 0.192 0.580
Te3 0.808 0.808 0.420
Te4 0.924 0.924 0.767

Values from the calculation:
V	34.69	Å³/atom
symmetry	C2/m
D(E_F)	2.713	states/eV per cell
calculated density	6.465	g/cm3
total DFT energy (no corrections)	-2.63	eV per atom


Record 13
In2HgTe: optimized geometry, PBE.

a = 8.200 Å, b = 8.200 Å, c = 8.200 Å
α = 30.61°, β = 30.61°, γ = 30.61°
Atoms (fractional coordinates):
In1 0.000 0.000 0.000
In2 0.170 0.170 0.170
Hg1 0.417 0.417 0.417
Te1 0.586 0.586 0.586

Values from the calculation:
V	31.68	Å³/atom
symmetry	R3m
D(E_F)	1.749	states/eV per cell
offset from the most stable computed form	2.9	kJ/mol of atoms
calculated density	7.311	g/cm3


Record 14
In5HgTe4: optimized geometry, PBE.

a = 8.771 Å, b = 10.944 Å, c = 7.586 Å
α = 90.00°, β = 90.00°, γ = 90.00°
Atoms (fractional coordinates):
In1 0.071 0.003 0.225
In2 0.071 0.497 0.225
In3 0.250 0.250 0.835
In4 0.429 0.003 0.225
In5 0.429 0.497 0.225
In6 0.571 0.503 0.775
In7 0.571 0.997 0.775
In8 0.750 0.750 0.165
In9 0.929 0.503 0.775
In10 0.929 0.997 0.775
Hg1 0.250 0.750 0.383
Hg2 0.750 0.250 0.617
Te1 0.019 0.750 0.958
Te2 0.250 0.038 0.617
Te3 0.250 0.462 0.617
Te4 0.481 0.750 0.958
Te5 0.519 0.250 0.042
Te6 0.750 0.538 0.383
Te7 0.750 0.962 0.383
Te8 0.981 0.250 0.042

Values from the calculation:
V	36.41	Å³/atom
symmetry	Pmmn
D(E_F)	4.228	states/eV per cell
calculated density	5.861	g/cm3
total DFT energy (no corrections)	-2.83	eV per atom


Record 15
In2HgTe: optimized geometry, PBE.

a = 7.838 Å, b = 7.838 Å, c = 7.838 Å
α = 124.74°, β = 124.74°, γ = 81.96°
Atoms (fractional coordinates):
In1 0.112 0.625 0.987
In2 0.375 0.362 0.487
In3 0.638 0.125 0.013
In4 0.875 0.888 0.513
Hg1 0.000 0.000 0.000
Hg2 0.750 0.250 0.500
Te1 0.250 0.750 0.500
Te2 0.500 0.500 0.000

Values from the calculation:
V	39.08	Å³/atom
symmetry	I-42d
D(E_F)	0.000	states/eV per cell
offset from the most stable computed form	10.4	kJ/mol of atoms
calculated density	5.926	g/cm3


Record 16
In2Hg2Te: optimized geometry, PBE.

a = 6.366 Å, b = 6.366 Å, c = 6.366 Å
α = 127.76°, β = 127.76°, γ = 77.02°
Atoms (fractional coordinates):
In1 0.250 0.750 0.500
In2 0.750 0.250 0.500
Hg1 0.144 0.144 0.000
Hg2 0.856 0.856 0.000
Te1 0.500 0.500 0.000

Values from the calculation:
V	31.31	Å³/atom
symmetry	I4/mmm
D(E_F)	1.048	states/eV per cell
offset from the most stable computed form	17.3	kJ/mol of atoms
calculated density	8.046	g/cm3


Record 17
InHg2Te: optimized geometry, PBE.

a = 5.863 Å, b = 5.863 Å, c = 5.863 Å
α = 138.69°, β = 114.57°, γ = 80.39°
Atoms (fractional coordinates):
In1 0.000 0.000 0.000
Hg1 0.249 0.749 0.500
Hg2 0.751 0.251 0.500
Te1 0.500 0.500 0.000

Values from the calculation:
V	29.35	Å³/atom
symmetry	Immm
D(E_F)	1.446	states/eV per cell
offset from the most stable computed form	9.4	kJ/mol of atoms
calculated density	9.103	g/cm3


Record 18
In8Hg3Te4: optimized geometry, PBE.

a = 8.796 Å, b = 8.796 Å, c = 7.279 Å
α = 113.08°, β = 113.08°, γ = 88.53°
Atoms (fractional coordinates):
In1 0.239 0.239 0.007
In2 0.241 0.759 0.000
In3 0.251 0.251 0.485
In4 0.253 0.747 0.500
In5 0.747 0.253 0.500
In6 0.749 0.749 0.515
In7 0.759 0.241 0.000
In8 0.761 0.761 0.993
Hg1 0.000 0.500 0.000
Hg2 0.500 0.000 0.000
Hg3 0.500 0.500 0.500
Te1 0.000 0.000 0.500
Te2 0.000 0.500 0.500
Te3 0.500 0.000 0.500
Te4 0.500 0.500 0.000

Values from the calculation:
V	31.41	Å³/atom
symmetry	C2/m
D(E_F)	5.023	states/eV per cell
calculated density	7.158	g/cm3
total DFT energy (no corrections)	-2.46	eV per atom


Record 19
In2Hg3Te: optimized geometry, PBE.

a = 7.780 Å, b = 7.780 Å, c = 6.933 Å
α = 90.00°, β = 90.00°, γ = 90.14°
Atoms (fractional coordinates):
In1 0.000 0.000 0.000
In2 0.000 0.000 0.500
In3 0.498 0.502 0.750
In4 0.502 0.498 0.250
Hg1 0.234 0.766 0.250
Hg2 0.266 0.266 0.000
Hg3 0.266 0.266 0.500
Hg4 0.734 0.734 0.000
Hg5 0.734 0.734 0.500
Hg6 0.766 0.234 0.750
Te1 0.235 0.765 0.750
Te2 0.765 0.235 0.250

Values from the calculation:
V	34.96	Å³/atom
symmetry	Cmcm
D(E_F)	5.060	states/eV per cell
calculated density	7.591	g/cm3
total DFT energy (no corrections)	-1.56	eV per atom


Record 20
InHg2Te: optimized geometry, PBE.

a = 12.037 Å, b = 12.037 Å, c = 12.037 Å
α = 16.31°, β = 16.31°, γ = 16.31°
Atoms (fractional coordinates):
In1 0.000 0.000 0.000
Hg1 0.502 0.502 0.502
Hg2 0.751 0.751 0.751
Te1 0.260 0.260 0.260

Values from the calculation:
V	29.97	Å³/atom
symmetry	R3m
D(E_F)	2.433	states/eV per cell
offset from the most stable computed form	16.9	kJ/mol of atoms
calculated density	8.915	g/cm3


Record 21
In2HgTe3: optimized geometry, PBE.

a = 14.356 Å, b = 14.356 Å, c = 7.419 Å
α = 103.93°, β = 103.93°, γ = 17.97°
Atoms (fractional coordinates):
In1 0.053 0.053 0.423
In2 0.304 0.304 0.466
In3 0.696 0.696 0.534
In4 0.947 0.947 0.577
Hg1 0.362 0.362 0.141
Hg2 0.638 0.638 0.859
Te1 0.044 0.044 0.790
Te2 0.243 0.243 0.743
Te3 0.398 0.398 0.708
Te4 0.602 0.602 0.292
Te5 0.757 0.757 0.257
Te6 0.956 0.956 0.210

Values from the calculation:
V	38.12	Å³/atom
symmetry	C2/m
D(E_F)	0.322	states/eV per cell
calculated density	5.903	g/cm3
total DFT energy (no corrections)	-2.75	eV per atom


Record 22
InHg2Te: optimized geometry, PBE.

a = 5.446 Å, b = 5.446 Å, c = 5.446 Å
α = 119.56°, β = 119.56°, γ = 90.76°
Atoms (fractional coordinates):
In1 0.000 0.000 0.000
Hg1 0.250 0.750 0.500
Hg2 0.500 0.500 0.000
Te1 0.750 0.250 0.500

Values from the calculation:
V	28.74	Å³/atom
symmetry	I-4m2
D(E_F)	1.512	states/eV per cell
offset from the most stable computed form	7.4	kJ/mol of atoms
calculated density	9.296	g/cm3


Record 23
In3HgTe4: optimized geometry, PBE.

a = 6.206 Å, b = 12.589 Å, c = 6.207 Å
α = 90.00°, β = 90.00°, γ = 90.00°
Atoms (fractional coordinates):
In1 0.250 0.000 0.250
In2 0.250 0.250 0.750
In3 0.250 0.500 0.250
In4 0.750 0.000 0.750
In5 0.750 0.500 0.750
In6 0.750 0.750 0.250
Hg1 0.250 0.750 0.749
Hg2 0.750 0.250 0.251
Te1 0.250 0.007 0.750
Te2 0.250 0.250 0.250
Te3 0.250 0.493 0.750
Te4 0.250 0.750 0.250
Te5 0.750 0.250 0.750
Te6 0.750 0.507 0.250
Te7 0.750 0.750 0.750
Te8 0.750 0.993 0.250

Values from the calculation:
V	30.31	Å³/atom
symmetry	Pmmn
D(E_F)	6.688	states/eV per cell
calculated density	7.228	g/cm3
total DFT energy (no corrections)	-2.88	eV per atom


Record 24
In2Hg2Te: optimized geometry, PBE.

a = 9.403 Å, b = 9.403 Å, c = 9.403 Å
α = 27.11°, β = 27.11°, γ = 27.11°
Atoms (fractional coordinates):
In1 0.098 0.098 0.098
In2 0.902 0.902 0.902
Hg1 0.301 0.301 0.301
Hg2 0.699 0.699 0.699
Te1 0.500 0.500 0.500

Values from the calculation:
V	30.47	Å³/atom
symmetry	R-3m
D(E_F)	1.252	states/eV per cell
offset from the most stable computed form	0.0	kJ/mol of atoms
calculated density	8.266	g/cm3


Record 25
InHg2Te: optimized geometry, PBE.

a = 5.445 Å, b = 5.445 Å, c = 5.445 Å
α = 60.00°, β = 60.00°, γ = 60.00°
Atoms (fractional coordinates):
In1 0.000 0.000 0.000
Hg1 0.250 0.250 0.250
Hg2 0.750 0.750 0.750
Te1 0.500 0.500 0.500

Values from the calculation:
V	28.53	Å³/atom
symmetry	Fm-3m
D(E_F)	2.070	states/eV per cell
offset from the most stable computed form	11.7	kJ/mol of atoms
calculated density	9.365	g/cm3